Arrangement A

! ZrAgGe3 (PBE, optimized geometry); values from VASP
! - M_tot: 0.000 μB per formula unit
! - DOS(E_F): 0.9468 states/eV/atom
&SYSTEM
  ibrav = 0, nat = 5, ntyp = 3
/
ATOMIC_SPECIES
Ge 72.64 Ge.upf
Zr 91.22 Zr.upf
Ag 107.87 Ag.upf
CELL_PARAMETERS angstrom
4.905 0.000 0.000
0.000 4.905 0.000
0.000 0.000 4.905
ATOMIC_POSITIONS crystal
Ge 0.500 0.000 0.000
Ge 0.000 0.500 0.000
Ge 0.000 0.000 0.500
Zr 0.500 0.500 0.500
Ag 0.000 0.000 0.000



Arrangement B

! ZrAgGe3 (PBE, optimized geometry); values from VASP
! - M_tot: 0.000 μB per formula unit
! - DOS(E_F): 0.8089 states/eV/atom
&SYSTEM
  ibrav = 0, nat = 5, ntyp = 3
/
ATOMIC_SPECIES
Ge 72.64 Ge.upf
Zr 91.22 Zr.upf
Ag 107.87 Ag.upf
CELL_PARAMETERS angstrom
5.196 0.000 0.000
0.000 5.196 0.000
0.000 0.000 5.196
ATOMIC_POSITIONS crystal
Ge 0.000 0.500 0.000
Ge 0.000 0.000 0.500
Ge 0.500 0.000 0.000
Zr 0.000 0.000 0.000
Ag 0.500 0.500 0.500



Which is most stable? The ranking, best first, is arrangement B, arrangement A.



Arrangement A

! Zr2Ag2Ge (PBE, optimized geometry); values from VASP
! - M_tot: 0.000 μB per formula unit
! - DOS(E_F): 0.1259 states/eV/atom
&SYSTEM
  ibrav = 0, nat = 10, ntyp = 3
/
ATOMIC_SPECIES
Ge 72.64 Ge.upf
Ag 107.87 Ag.upf
Zr 91.22 Zr.upf
CELL_PARAMETERS angstrom
6.833 0.000 0.000
0.000 6.833 0.000
0.000 0.000 4.303
ATOMIC_POSITIONS crystal
Ge 0.000 0.000 0.000
Ge 0.500 0.500 0.000
Ag 0.138 0.362 0.000
Ag 0.862 0.638 0.000
Ag 0.638 0.138 0.000
Ag 0.362 0.862 0.000
Zr 0.166 0.666 0.500
Zr 0.666 0.834 0.500
Zr 0.834 0.334 0.500
Zr 0.334 0.166 0.500



Arrangement B

! Zr2Ag2Ge (PBE, optimized geometry); values from VASP
! - M_tot: 0.000 μB per formula unit
! - DOS(E_F): 1.1665 states/eV/atom
&SYSTEM
  ibrav = 0, nat = 10, ntyp = 3
/
ATOMIC_SPECIES
Ag 107.87 Ag.upf
Ge 72.64 Ge.upf
Zr 91.22 Zr.upf
CELL_PARAMETERS angstrom
7.212 0.000 0.000
0.000 7.212 0.000
0.000 0.000 4.164
ATOMIC_POSITIONS crystal
Ag 0.861 0.361 0.500
Ag 0.139 0.639 0.500
Ag 0.639 0.861 0.500
Ag 0.361 0.139 0.500
Ge 0.500 0.500 0.000
Ge 0.000 0.000 0.000
Zr 0.659 0.159 0.000
Zr 0.841 0.659 0.000
Zr 0.159 0.341 0.000
Zr 0.341 0.841 0.000



Which is most stable? The ranking, best first, is arrangement A, arrangement B.



Arrangement A

! Ag3H (PBE, optimized geometry); values from VASP
! - M_tot: 0.000 μB per formula unit
! - DOS(E_F): 0.0826 states/eV/atom
&SYSTEM
  ibrav = 0, nat = 4, ntyp = 2
/
ATOMIC_SPECIES
Ag 107.87 Ag.upf
H 1.01 H.upf
CELL_PARAMETERS angstrom
3.983 0.000 0.000
0.000 3.984 0.000
0.000 0.000 4.208
ATOMIC_POSITIONS crystal
Ag 0.500 0.500 0.958
Ag 0.000 0.500 0.458
Ag 0.000 0.000 0.958
H 0.500 0.000 0.958



Arrangement B

! Ag3H (PBE, optimized geometry); values from VASP
! - M_tot: 0.000 μB per formula unit
! - DOS(E_F): 0.2023 states/eV/atom
&SYSTEM
  ibrav = 0, nat = 4, ntyp = 2
/
ATOMIC_SPECIES
Ag 107.87 Ag.upf
H 1.01 H.upf
CELL_PARAMETERS angstrom
2.803 0.000 0.000
0.000 5.147 0.000
-1.402 -2.573 4.045
ATOMIC_POSITIONS crystal
Ag 0.682 0.098 0.364
Ag 0.318 0.734 0.636
Ag 0.500 0.416 0.000
H 0.000 0.919 0.000



Which is most stable? The ranking, best first, is arrangement B, arrangement A.